La4AsPbN after structural relaxation, computed with PBE.

Summary:
electronic total energy = -6.1697 eV/atom

Lattice parameters (Å, degrees): 7.0011 6.9795 8.9882 90.00 112.92 90.00
Fractional coordinates of all 14 atoms:
La1 0.0000 0.5000 0.5000
La2 0.9200 0.2500 0.8400
La3 0.5000 0.5000 0.5000
La4 0.0800 0.7500 0.1600
La5 0.5884 0.2500 0.1769
La6 0.5000 0.0000 0.5000
La7 0.0000 0.0000 0.5000
La8 0.4116 0.7500 0.8231
As1 0.8838 0.7500 0.7676
As2 0.1162 0.2500 0.2324
Pb1 0.3947 0.2500 0.7894
Pb2 0.6053 0.7500 0.2106
N1 0.2297 0.7500 0.4594
N2 0.7703 0.2500 0.5406